Entry from Alexandria: an optimized crystal structure of BaSr2MgPd (PBEsol).

Computed properties:
ΔH_f (0 K)   -0.180 eV per atom
ρ   3.52 g/cm3
Total magnetization   0.000 μB/cell
V   41.8 A^3/atom

Lattice parameters (Å, degrees): 5.858 5.858 6.092 90.00 90.00 90.00
Space group P4/mmm (No. 123)
Asymmetric unit:
1 Ba 0.000 0.000 0.000 [1 per cell]
2 Sr 0.000 0.500 0.500 [2 per cell]
3 Mg 0.500 0.500 0.000 [1 per cell]
4 Pd 0.000 0.000 0.500 [1 per cell]